Material: InHRh3
Method: DFT, PBE
State: optimized geometry

Structure (CIF):
```
data_InHRh3
_chemical_formula_sum 'In4 H4 Rh12'
_symmetry_space_group_name_H-M 'P n m a'
_symmetry_Int_Tables_number 62
_cell_length_a 5.231
_cell_length_b 7.163
_cell_length_c 7.528
_cell_angle_alpha 90.00
_cell_angle_beta 90.00
_cell_angle_gamma 90.00
loop_
_symmetry_equiv_pos_as_xyz
'x,y,z'
'-x,-y,-z'
'-x+1/2,-y,z+1/2'
'x+1/2,y,-z+1/2'
'x+1/2,-y+1/2,-z+1/2'
'-x+1/2,y+1/2,z+1/2'
'-x,y+1/2,-z'
'x,-y+1/2,z'
loop_
_atom_site_label
_atom_site_type_symbol
_atom_site_fract_x
_atom_site_fract_y
_atom_site_fract_z
_atom_site_occupancy
In1 In 0.000 0.000 0.000 1
H1 H 0.043 0.250 0.420 1
Rh1 Rh 0.039 0.578 0.346 1
Rh2 Rh 0.233 0.750 0.708 1
```

## Properties
Energy above the lowest structure with this stoichiometry: 0.273 eV/atom

Material: CaCe2Lu
Method: DFT, PBE
State: optimized geometry

Structure (CIF):
```
data_CaCe2Lu
_chemical_formula_sum 'Ca1 Ce2 Lu1'
_symmetry_space_group_name_H-M 'P 4/m m m'
_symmetry_Int_Tables_number 123
_symmetry_space_group_name_Hall '-P 4 2'
_cell_length_a 3.449
_cell_length_b 3.449
_cell_length_c 10.846
_cell_angle_alpha 90.00
_cell_angle_beta 90.00
_cell_angle_gamma 90.00
loop_
_atom_site_label
_atom_site_type_symbol
_atom_site_fract_x
_atom_site_fract_y
_atom_site_fract_z
_atom_site_occupancy
Ca1 Ca 0.000 0.000 0.000 1
Ce1 Ce 0.500 0.500 0.269 1
Lu1 Lu 0.000 0.000 0.500 1
```

## Properties
Energy above the lowest structure with this stoichiometry: 0.000 eV/atom

Material: PuCuGe
Method: DFT, PBE
State: optimized geometry

Structure (CIF):
```
data_PuCuGe
_chemical_formula_sum 'Pu2 Cu2 Ge2'
_symmetry_space_group_name_H-M 'I 4 m m'
_symmetry_Int_Tables_number 107
_symmetry_space_group_name_Hall 'I 4 -2'
_cell_length_a 3.178
_cell_length_b 3.178
_cell_length_c 11.080
_cell_angle_alpha 90.00
_cell_angle_beta 90.00
_cell_angle_gamma 90.00
loop_
_atom_site_label
_atom_site_type_symbol
_atom_site_fract_x
_atom_site_fract_y
_atom_site_fract_z
_atom_site_occupancy
Pu1 Pu 0.000 0.000 0.000 1
Cu1 Cu 0.000 0.000 0.311 1
Ge1 Ge 0.000 0.000 0.698 1
```

Material: Sm2ZnPt5Rh2
Method: DFT, PBE
State: optimized geometry

Structure (CIF):
```
data_Sm2ZnPt5Rh2
_chemical_formula_sum 'Sm4 Zn2 Pt10 Rh4'
_symmetry_space_group_name_H-M 'P 4/m b m'
_symmetry_Int_Tables_number 127
_symmetry_space_group_name_Hall '-P 4 2ab'
_cell_length_a 9.409
_cell_length_b 9.409
_cell_length_c 4.104
_cell_angle_alpha 90.00
_cell_angle_beta 90.00
_cell_angle_gamma 90.00
loop_
_atom_site_label
_atom_site_type_symbol
_atom_site_fract_x
_atom_site_fract_y
_atom_site_fract_z
_atom_site_occupancy
Sm1 Sm 0.171 0.329 0.000 1
Zn1 Zn 0.000 0.000 0.000 1
Pt1 Pt 0.000 0.500 0.500 1
Pt2 Pt 0.061 0.801 0.500 1
Rh1 Rh 0.128 0.628 0.000 1
```

Material: TaMnP2S
Method: DFT, PBE
State: optimized geometry

Structure (CIF):
```
data_TaMnP2S
_chemical_formula_sum 'Ta1 Mn1 P2 S1'
_symmetry_space_group_name_H-M 'P 4/m m m'
_symmetry_Int_Tables_number 123
_symmetry_space_group_name_Hall '-P 4 2'
_cell_length_a 4.829
_cell_length_b 4.829
_cell_length_c 4.668
_cell_angle_alpha 90.00
_cell_angle_beta 90.00
_cell_angle_gamma 90.00
loop_
_atom_site_label
_atom_site_type_symbol
_atom_site_fract_x
_atom_site_fract_y
_atom_site_fract_z
_atom_site_occupancy
Ta1 Ta 0.000 0.000 0.000 1
Mn1 Mn 0.500 0.500 0.500 1
P1 P 0.000 0.500 0.000 1
S1 S 0.000 0.000 0.500 1
```

## Properties
Energy above the lowest structure with this stoichiometry: 0.289 eV/atom
Uncorrected formation energy: 0.934 eV/atom

Material: Ag5N2F4
Method: DFT, PBE
State: optimized geometry

Structure (CIF):
```
data_Ag5N2F4
_chemical_formula_sum 'Ag5 N2 F4'
_symmetry_space_group_name_H-M 'P -1'
_symmetry_Int_Tables_number 2
_cell_length_a 3.155
_cell_length_b 6.175
_cell_length_c 9.651
_cell_angle_alpha 86.07
_cell_angle_beta 89.03
_cell_angle_gamma 75.39
loop_
_symmetry_equiv_pos_as_xyz
'x,y,z'
'-x,-y,-z'
loop_
_atom_site_label
_atom_site_type_symbol
_atom_site_fract_x
_atom_site_fract_y
_atom_site_fract_z
_atom_site_occupancy
Ag1 Ag 0.000 0.000 0.000 1
Ag2 Ag 0.071 0.846 0.632 1
Ag3 Ag 0.373 0.244 0.605 1
N1 N 0.040 0.424 0.969 1
F1 F 0.270 0.479 0.344 1
F2 F 0.492 0.039 0.184 1
```

## Properties
Uncorrected formation energy: -0.702 eV/atom

Material: Nb2BiSe6
Method: DFT, PBE
State: optimized geometry

Structure (CIF):
```
data_Nb2BiSe6
_chemical_formula_sum 'Nb4 Bi2 Se12'
_symmetry_space_group_name_H-M 'C 1 2/m 1'
_symmetry_Int_Tables_number 12
_cell_length_a 12.221
_cell_length_b 5.054
_cell_length_c 8.826
_cell_angle_alpha 90.00
_cell_angle_beta 115.70
_cell_angle_gamma 90.00
loop_
_symmetry_equiv_pos_as_xyz
'x,y,z'
'-x,-y,-z'
'-x,y,-z'
'x,-y,z'
'x+1/2,y+1/2,z'
'-x+1/2,-y+1/2,-z'
'-x+1/2,y+1/2,-z'
'x+1/2,-y+1/2,z'
loop_
_atom_site_label
_atom_site_type_symbol
_atom_site_fract_x
_atom_site_fract_y
_atom_site_fract_z
_atom_site_occupancy
Nb1 Nb 0.195 0.000 0.077 1
Bi1 Bi 0.000 0.000 0.500 1
Se1 Se 0.014 0.000 0.179 1
Se2 Se 0.153 0.500 0.611 1
Se3 Se 0.199 0.500 0.118 1
```

## Properties
Uncorrected formation energy: -0.484 eV/atom

Material: Na2BiBr2
Method: DFT, PBE
State: optimized geometry

Structure (CIF):
```
data_Na2BiBr2
_chemical_formula_sum 'Na4 Bi2 Br4'
_symmetry_space_group_name_H-M 'I 4/m m m'
_symmetry_Int_Tables_number 139
_symmetry_space_group_name_Hall '-I 4 2'
_cell_length_a 5.776
_cell_length_b 5.776
_cell_length_c 14.136
_cell_angle_alpha 90.00
_cell_angle_beta 90.00
_cell_angle_gamma 90.00
loop_
_atom_site_label
_atom_site_type_symbol
_atom_site_fract_x
_atom_site_fract_y
_atom_site_fract_z
_atom_site_occupancy
Na1 Na 0.000 0.000 0.233 1
Bi1 Bi 0.000 0.000 0.500 1
Br1 Br 0.000 0.500 0.250 1
```

## Properties
Energy above the lowest structure with this stoichiometry: 0.054 eV/atom
Uncorrected formation energy: -0.649 eV/atom

Material: CuRe2W
Method: DFT, PBE
State: optimized geometry

Structure (CIF):
```
data_CuRe2W
_chemical_formula_sum 'Cu1 Re2 W1'
_symmetry_space_group_name_H-M 'P 4/m m m'
_symmetry_Int_Tables_number 123
_symmetry_space_group_name_Hall '-P 4 2'
_cell_length_a 3.899
_cell_length_b 3.899
_cell_length_c 3.830
_cell_angle_alpha 90.00
_cell_angle_beta 90.00
_cell_angle_gamma 90.00
loop_
_atom_site_label
_atom_site_type_symbol
_atom_site_fract_x
_atom_site_fract_y
_atom_site_fract_z
_atom_site_occupancy
Cu1 Cu 0.000 0.000 0.000 1
Re1 Re 0.000 0.500 0.500 1
W1 W 0.500 0.500 0.000 1
```

Material: LiRh2CI
Method: DFT, PBE
State: optimized geometry

Structure (CIF):
```
data_LiRh2CI
_chemical_formula_sum 'Li1 Rh2 C1 I1'
_symmetry_space_group_name_H-M 'P 4/m m m'
_symmetry_Int_Tables_number 123
_symmetry_space_group_name_Hall '-P 4 2'
_cell_length_a 4.305
_cell_length_b 4.305
_cell_length_c 4.409
_cell_angle_alpha 90.00
_cell_angle_beta 90.00
_cell_angle_gamma 90.00
loop_
_atom_site_label
_atom_site_type_symbol
_atom_site_fract_x
_atom_site_fract_y
_atom_site_fract_z
_atom_site_occupancy
Li1 Li 0.000 0.000 0.000 1
Rh1 Rh 0.000 0.500 0.000 1
C1 C 0.500 0.500 0.500 1
I1 I 0.000 0.000 0.500 1
```

## Properties
Uncorrected formation energy: 1.959 eV/atom

Material: CaSn2HgOs
Method: DFT, PBE
State: optimized geometry

Structure (CIF):
```
data_CaSn2HgOs
_chemical_formula_sum 'Ca1 Sn2 Hg1 Os1'
_symmetry_space_group_name_H-M 'P 4/m m m'
_symmetry_Int_Tables_number 123
_symmetry_space_group_name_Hall '-P 4 2'
_cell_length_a 5.441
_cell_length_b 5.441
_cell_length_c 5.209
_cell_angle_alpha 90.00
_cell_angle_beta 90.00
_cell_angle_gamma 90.00
loop_
_atom_site_label
_atom_site_type_symbol
_atom_site_fract_x
_atom_site_fract_y
_atom_site_fract_z
_atom_site_occupancy
Ca1 Ca 0.000 0.000 0.000 1
Sn1 Sn 0.000 0.500 0.500 1
Hg1 Hg 0.500 0.500 0.500 1
Os1 Os 0.500 0.500 0.000 1
```

Material: CaNbBi2
Method: DFT, PBE
State: optimized geometry

Structure (CIF):
```
data_CaNbBi2
_chemical_formula_sum 'Ca4 Nb4 Bi8'
_symmetry_space_group_name_H-M 'I -4 2 d'
_symmetry_Int_Tables_number 122
_symmetry_space_group_name_Hall 'I -4 2bw'
_cell_length_a 8.229
_cell_length_b 8.229
_cell_length_c 6.926
_cell_angle_alpha 90.00
_cell_angle_beta 90.00
_cell_angle_gamma 90.00
loop_
_atom_site_label
_atom_site_type_symbol
_atom_site_fract_x
_atom_site_fract_y
_atom_site_fract_z
_atom_site_occupancy
Ca1 Ca 0.000 0.000 0.000 1
Nb1 Nb 0.000 0.000 0.500 1
Bi1 Bi 0.221 0.250 0.625 1
```

## Properties
Energy above the lowest structure with this stoichiometry: 0.155 eV/atom

no.,energy (eV for the cell shown),total magnetic moment (μB per formula unit)
1,-111.2,0.00
2,-17.6,2.50
3,-46.5,5.77
4,-124.6,0.00
5,-31.3,0.14
6,-46.1,0.00
7,-98.6,0.00
8,-26.2,3.00
9,-41.1,0.00
10,-17.6,0.00
11,-16.4,1.72
12,-77.4,0.97